# PBE-GGA HfSi, optimized geometry
data_HfSi
_chemical_formula_sum 'Hf8 Si8'
_cell_length_a 5.202
_cell_length_b 5.300
_cell_length_c 10.029
_cell_angle_alpha 90.00
_cell_angle_beta 90.00
_cell_angle_gamma 90.00
_space_group_name_H-M_alt 'P 21 21 21'
_space_group_IT_number 19
loop_
_space_group_symop_operation_xyz
'x,y,z'
'-x+1/2,-y,z+1/2'
'x+1/2,-y+1/2,-z'
'-x,y+1/2,-z+1/2'
loop_
_atom_site_label
_atom_site_fract_x
_atom_site_fract_y
_atom_site_fract_z
_atom_site_occupancy
Hf1 0.130 0.089 0.026 1
Hf2 0.145 0.637 0.807 1
Si1 0.157 0.863 0.279 1
Si2 0.158 0.588 0.073 1
# Formation energy without anion corrections   -0.63 eV per atom
# DFT total energy   -8.318 eV/atom
# D(E_F)   0.940 states/eV/f.u.
# Magnetization   0.000 μB per atom

# PBE-GGA Hf3Si, optimized geometry
data_Hf3Si
_chemical_formula_sum 'Hf24 Si8'
_cell_length_a 10.890
_cell_length_b 10.890
_cell_length_c 5.385
_cell_angle_alpha 90.00
_cell_angle_beta 90.00
_cell_angle_gamma 90.00
_space_group_name_H-M_alt 'I -4'
_space_group_IT_number 82
loop_
_space_group_symop_operation_xyz
'x,y,z'
'y,-x,-z'
'-x,-y,z'
'-y,x,-z'
'x+1/2,y+1/2,z+1/2'
'y+1/2,-x+1/2,-z+1/2'
'-x+1/2,-y+1/2,z+1/2'
'-y+1/2,x+1/2,-z+1/2'
loop_
_atom_site_label
_atom_site_fract_x
_atom_site_fract_y
_atom_site_fract_z
_atom_site_occupancy
Hf1 0.028 0.139 0.230 1
Hf2 0.082 0.609 0.020 1
Hf3 0.182 0.717 0.502 1
Si1 0.040 0.206 0.722 1
# Formation energy without anion corrections   -0.51 eV per atom
# Energy above the lowest structure with this stoichiometry   0.012 eV per atom
# DFT total energy   -9.332 eV/atom
# D(E_F)   3.964 states/eV/f.u.
# Magnetization   0.000 μB per atom

# PBE-GGA HfSi, optimized geometry
data_HfSi
_chemical_formula_sum 'Hf8 Si8'
_cell_length_a 4.212
_cell_length_b 4.289
_cell_length_c 16.863
_cell_angle_alpha 90.00
_cell_angle_beta 90.00
_cell_angle_gamma 90.00
_space_group_name_H-M_alt 'F m m m'
_space_group_IT_number 69
_space_group_name_Hall '-F 2 2'
loop_
_atom_site_label
_atom_site_fract_x
_atom_site_fract_y
_atom_site_fract_z
_atom_site_occupancy
Hf1 0.000 0.000 0.178 1
Si1 0.000 0.000 0.431 1
# Formation energy without anion corrections   -0.17 eV per atom
# DFT total energy   -7.859 eV/atom
# D(E_F)   1.375 states/eV/f.u.
# Magnetization   0.000 μB per atom

# PBE-GGA HfSi, optimized geometry
data_HfSi
_chemical_formula_sum 'Hf8 Si8'
_cell_length_a 8.284
_cell_length_b 8.284
_cell_length_c 8.284
_cell_angle_alpha 90.00
_cell_angle_beta 90.00
_cell_angle_gamma 90.00
_space_group_name_H-M_alt 'I -4 3 m'
_space_group_IT_number 217
_space_group_name_Hall 'I -4 2 3'
loop_
_atom_site_label
_atom_site_fract_x
_atom_site_fract_y
_atom_site_fract_z
_atom_site_occupancy
Hf1 0.148 0.148 0.852 1
Si1 0.168 0.168 0.168 1
# Formation energy without anion corrections   0.59 eV per atom
# DFT total energy   -7.103 eV/atom
# D(E_F)   0.150 states/eV/f.u.
# Magnetization   0.000 μB per atom

# PBE-GGA Hf2Si, optimized geometry
data_Hf2Si
_chemical_formula_sum 'Hf16 Si8'
_cell_length_a 3.875
_cell_length_b 15.428
_cell_length_c 7.710
_cell_angle_alpha 90.00
_cell_angle_beta 90.00
_cell_angle_gamma 90.00
_space_group_name_H-M_alt 'C m c 21'
_space_group_IT_number 36
loop_
_space_group_symop_operation_xyz
'x,y,z'
'-x,-y,z+1/2'
'-x,y,z'
'x,-y,z+1/2'
'x+1/2,y+1/2,z'
'-x+1/2,-y+1/2,z+1/2'
'-x+1/2,y+1/2,z'
'x+1/2,-y+1/2,z+1/2'
loop_
_atom_site_label
_atom_site_fract_x
_atom_site_fract_y
_atom_site_fract_z
_atom_site_occupancy
Hf1 0.000 0.033 0.000 1
Hf2 0.000 0.161 0.650 1
Hf3 0.000 0.315 0.427 1
Hf4 0.000 0.371 0.852 1
Si1 0.000 0.206 0.155 1
Si2 0.000 0.462 0.221 1
# Formation energy without anion corrections   -0.48 eV per atom
# DFT total energy   -8.924 eV/atom
# D(E_F)   1.694 states/eV/f.u.
# Magnetization   0.000 μB per atom

# PBE-GGA HfSi, optimized geometry
data_HfSi
_chemical_formula_sum 'Hf4 Si4'
_cell_length_a 6.051
_cell_length_b 6.051
_cell_length_c 6.051
_cell_angle_alpha 90.00
_cell_angle_beta 90.00
_cell_angle_gamma 90.00
_space_group_name_H-M_alt 'F -4 3 m'
_space_group_IT_number 216
_space_group_name_Hall 'F -4 2 3'
loop_
_atom_site_label
_atom_site_fract_x
_atom_site_fract_y
_atom_site_fract_z
_atom_site_occupancy
Hf1 0.000 0.000 0.000 1
Si1 0.250 0.250 0.250 1
# Formation energy without anion corrections   0.51 eV per atom
# DFT total energy   -7.182 eV/atom
# D(E_F)   0.498 states/eV/f.u.
# Magnetization   0.000 μB per atom

# PBE-GGA HfSi, optimized geometry
data_HfSi
_chemical_formula_sum 'Hf1 Si1'
_cell_length_a 3.1500
_cell_length_b 3.1500
_cell_length_c 4.2437
_cell_angle_alpha 90.00
_cell_angle_beta 90.00
_cell_angle_gamma 120.00
_space_group_name_H-M_alt 'P -6 m 2'
_space_group_IT_number 187
_space_group_name_Hall 'P -6 2'
loop_
_atom_site_label
_atom_site_fract_x
_atom_site_fract_y
_atom_site_fract_z
_atom_site_occupancy
Hf1 0.0000 0.0000 0.0000 1
Si1 0.3333 0.6667 0.5000 1
# Formation energy without anion corrections   -0.36 eV per atom
# DFT total energy   -8.047 eV/atom
# D(E_F)   1.834 states/eV/f.u.
# Magnetization   0.000 μB per atom

# PBE-GGA HfSi, optimized geometry
data_HfSi
_chemical_formula_sum 'Hf8 Si8'
_cell_length_a 7.474
_cell_length_b 7.474
_cell_length_c 5.399
_cell_angle_alpha 90.00
_cell_angle_beta 90.00
_cell_angle_gamma 90.00
_space_group_name_H-M_alt 'I 4/m'
_space_group_IT_number 87
_space_group_name_Hall '-I 4'
loop_
_atom_site_label
_atom_site_fract_x
_atom_site_fract_y
_atom_site_fract_z
_atom_site_occupancy
Hf1 0.062 0.701 0.000 1
Si1 0.079 0.778 0.500 1
# Formation energy without anion corrections   -0.27 eV per atom
# DFT total energy   -7.954 eV/atom
# D(E_F)   1.249 states/eV/f.u.
# Magnetization   0.000 μB per atom

# PBE-GGA HfSi, optimized geometry
data_HfSi
_chemical_formula_sum 'Hf6 Si6'
_cell_length_a 7.396
_cell_length_b 7.396
_cell_length_c 7.396
_cell_angle_alpha 90.00
_cell_angle_beta 90.00
_cell_angle_gamma 90.00
_space_group_name_H-M_alt 'P m -3 n'
_space_group_IT_number 223
_space_group_name_Hall '-P 4n 2 3'
loop_
_atom_site_label
_atom_site_fract_x
_atom_site_fract_y
_atom_site_fract_z
_atom_site_occupancy
Hf1 0.000 0.250 0.500 1
Si1 0.000 0.500 0.250 1
# Formation energy without anion corrections   0.58 eV per atom
# DFT total energy   -7.107 eV/atom
# D(E_F)   0.502 states/eV/f.u.
# Magnetization   0.000 μB per atom

# PBE-GGA HfSi, optimized geometry
data_HfSi
_chemical_formula_sum 'Hf4 Si4'
_cell_length_a 3.578
_cell_length_b 8.011
_cell_length_c 5.062
_cell_angle_alpha 90.00
_cell_angle_beta 90.00
_cell_angle_gamma 90.00
_space_group_name_H-M_alt 'I m m 2'
_space_group_IT_number 44
loop_
_space_group_symop_operation_xyz
'x,y,z'
'-x,-y,z'
'-x,y,z'
'x,-y,z'
'x+1/2,y+1/2,z+1/2'
'-x+1/2,-y+1/2,z+1/2'
'-x+1/2,y+1/2,z+1/2'
'x+1/2,-y+1/2,z+1/2'
loop_
_atom_site_label
_atom_site_fract_x
_atom_site_fract_y
_atom_site_fract_z
_atom_site_occupancy
Hf1 0.000 0.223 0.000 1
Si1 0.000 0.000 0.542 1
Si2 0.000 0.500 0.684 1
# Formation energy without anion corrections   -0.44 eV per atom
# DFT total energy   -8.130 eV/atom
# D(E_F)   1.418 states/eV/f.u.
# Magnetization   0.000 μB per atom

# PBE-GGA HfSi, optimized geometry
data_HfSi
_chemical_formula_sum 'Hf4 Si4'
_cell_length_a 6.907
_cell_length_b 3.780
_cell_length_c 5.253
_cell_angle_alpha 90.00
_cell_angle_beta 90.00
_cell_angle_gamma 90.00
_space_group_name_H-M_alt 'P n m a'
_space_group_IT_number 62
loop_
_space_group_symop_operation_xyz
'x,y,z'
'-x,-y,-z'
'-x+1/2,-y,z+1/2'
'x+1/2,y,-z+1/2'
'x+1/2,-y+1/2,-z+1/2'
'-x+1/2,y+1/2,z+1/2'
'-x,y+1/2,-z'
'x,-y+1/2,z'
loop_
_atom_site_label
_atom_site_fract_x
_atom_site_fract_y
_atom_site_fract_z
_atom_site_occupancy
Hf1 0.175 0.250 0.125 1
Si1 0.044 0.250 0.640 1
# Formation energy without anion corrections   -0.82 eV per atom
# DFT total energy   -8.510 eV/atom
# D(E_F)   0.340 states/eV/f.u.
# Magnetization   0.000 μB per atom

# PBE-GGA Hf3Si, optimized geometry
data_Hf3Si
_chemical_formula_sum 'Hf6 Si2'
_cell_length_a 6.0695
_cell_length_b 6.0695
_cell_length_c 4.8719
_cell_angle_alpha 90.00
_cell_angle_beta 90.00
_cell_angle_gamma 120.00
_space_group_name_H-M_alt 'P 63/m m c'
_space_group_IT_number 194
_space_group_name_Hall '-P 6c 2c'
loop_
_atom_site_label
_atom_site_fract_x
_atom_site_fract_y
_atom_site_fract_z
_atom_site_occupancy
Hf1 0.1709 0.3418 0.2500 1
Si1 0.3333 0.6667 0.7500 1
# Formation energy without anion corrections   -0.27 eV per atom
# Energy above the lowest structure with this stoichiometry   0.256 eV per atom
# DFT total energy   -9.088 eV/atom
# D(E_F)   2.289 states/eV/f.u.
# Magnetization   0.000 μB per atom

# PBE-GGA HfSi, optimized geometry
data_HfSi
_chemical_formula_sum 'Hf4 Si4'
_cell_length_a 3.109
_cell_length_b 5.578
_cell_length_c 8.390
_cell_angle_alpha 90.00
_cell_angle_beta 90.00
_cell_angle_gamma 90.00
_space_group_name_H-M_alt 'I m m m'
_space_group_IT_number 71
_space_group_name_Hall '-I 2 2'
loop_
_atom_site_label
_atom_site_fract_x
_atom_site_fract_y
_atom_site_fract_z
_atom_site_occupancy
Hf1 0.000 0.000 0.202 1
Si1 0.000 0.219 0.500 1
# Formation energy without anion corrections   -0.51 eV per atom
# DFT total energy   -8.193 eV/atom
# D(E_F)   2.140 states/eV/f.u.
# Magnetization   0.000 μB per atom

# PBE-GGA HfSi, optimized geometry
data_HfSi
_chemical_formula_sum 'Hf6 Si6'
_cell_length_a 3.675
_cell_length_b 3.797
_cell_length_c 15.192
_cell_angle_alpha 90.00
_cell_angle_beta 90.00
_cell_angle_gamma 90.00
_space_group_name_H-M_alt 'I m m m'
_space_group_IT_number 71
_space_group_name_Hall '-I 2 2'
loop_
_atom_site_label
_atom_site_fract_x
_atom_site_fract_y
_atom_site_fract_z
_atom_site_occupancy
Hf1 0.000 0.000 0.000 1
Hf2 0.000 0.500 0.318 1
Si1 0.000 0.000 0.500 1
Si2 0.000 0.500 0.137 1
# Formation energy without anion corrections   -0.65 eV per atom
# DFT total energy   -8.340 eV/atom
# D(E_F)   1.205 states/eV/f.u.
# Magnetization   0.000 μB per atom

# PBE-GGA Sm5HfSi4, optimized geometry
data_Sm5HfSi4
_chemical_formula_sum 'Sm10 Hf2 Si8'
_cell_length_a 18.549
_cell_length_b 4.192
_cell_length_c 7.600
_cell_angle_alpha 90.00
_cell_angle_beta 113.23
_cell_angle_gamma 90.00
_space_group_name_H-M_alt 'C 1 2/m 1'
_space_group_IT_number 12
loop_
_space_group_symop_operation_xyz
'x,y,z'
'-x,-y,-z'
'-x,y,-z'
'x,-y,z'
'x+1/2,y+1/2,z'
'-x+1/2,-y+1/2,-z'
'-x+1/2,y+1/2,-z'
'x+1/2,-y+1/2,z'
loop_
_atom_site_label
_atom_site_fract_x
_atom_site_fract_y
_atom_site_fract_z
_atom_site_occupancy
Sm1 0.000 0.000 0.000 1
Sm2 0.164 0.500 0.394 1
Sm3 0.166 0.500 0.911 1
Hf1 0.000 0.000 0.500 1
Si1 0.001 0.500 0.732 1
Si2 0.177 0.000 0.667 1
# Formation energy without anion corrections   -0.41 eV per atom
# DFT total energy   -5.931 eV/atom
# D(E_F)   5.533 states/eV/f.u.
# Magnetization   0.000 μB per atom

# PBE-GGA Sm2Hf3Si4, optimized geometry
data_Sm2Hf3Si4
_chemical_formula_sum 'Sm4 Hf6 Si8'
_cell_length_a 7.334
_cell_length_b 7.337
_cell_length_c 7.135
_cell_angle_alpha 90.00
_cell_angle_beta 108.53
_cell_angle_gamma 90.00
_space_group_name_H-M_alt 'P 1 21/c 1'
_space_group_IT_number 14
loop_
_space_group_symop_operation_xyz
'x,y,z'
'-x,-y,-z'
'-x,y+1/2,-z+1/2'
'x,-y+1/2,z+1/2'
loop_
_atom_site_label
_atom_site_fract_x
_atom_site_fract_y
_atom_site_fract_z
_atom_site_occupancy
Sm1 0.189 0.170 0.071 1
Hf1 0.254 0.678 0.250 1
Hf2 0.500 0.000 0.500 1
Si1 0.084 0.535 0.871 1
Si2 0.493 0.124 0.870 1
# Formation energy without anion corrections   -0.81 eV per atom
# DFT total energy   -7.585 eV/atom
# D(E_F)   7.066 states/eV/f.u.
# Magnetization   0.000 μB per atom

# PBE-GGA Sm3HfSi6, optimized geometry
data_Sm3HfSi6
_chemical_formula_sum 'Sm18 Hf6 Si36'
_cell_length_a 11.2561
_cell_length_b 11.2561
_cell_length_c 11.1524
_cell_angle_alpha 90.00
_cell_angle_beta 90.00
_cell_angle_gamma 120.00
_space_group_name_H-M_alt 'R -3 c'
_space_group_IT_number 167
_space_group_name_Hall '-R 3 2"c'
loop_
_atom_site_label
_atom_site_fract_x
_atom_site_fract_y
_atom_site_fract_z
_atom_site_occupancy
Sm1 0.0000 0.4354 0.2500 1
Hf1 0.0000 0.0000 0.0000 1
Si1 0.0706 0.2141 0.3383 1
# Formation energy without anion corrections   -0.60 eV per atom
# DFT total energy   -6.260 eV/atom
# D(E_F)   4.886 states/eV/f.u.
# Magnetization   0.000 μB per atom

# PBE-GGA HfSiSn, optimized geometry
data_HfSiSn
_chemical_formula_sum 'Hf2 Si2 Sn2'
_cell_length_a 3.663
_cell_length_b 3.663
_cell_length_c 9.070
_cell_angle_alpha 90.00
_cell_angle_beta 90.00
_cell_angle_gamma 90.00
_space_group_name_H-M_alt 'P 4/n m m'
_space_group_IT_number 129
loop_
_space_group_symop_operation_xyz
'x,y,z'
'-x,-y,-z'
'-y+1/2,x,z'
'y+1/2,-x,-z'
'-x+1/2,-y+1/2,z'
'x+1/2,y+1/2,-z'
'y,-x+1/2,z'
'-y,x+1/2,-z'
'x+1/2,-y,-z'
'-x+1/2,y,z'
'-y,-x,-z'
'y,x,z'
'-x,y+1/2,-z'
'x,-y+1/2,z'
'y+1/2,x+1/2,-z'
'-y+1/2,-x+1/2,z'
loop_
_atom_site_label
_atom_site_fract_x
_atom_site_fract_y
_atom_site_fract_z
_atom_site_occupancy
Hf1 0.250 0.250 0.229 1
Si1 0.250 0.750 0.000 1
Sn1 0.250 0.250 0.596 1
# Formation energy without anion corrections   -0.31 eV per atom
# DFT total energy   -6.773 eV/atom
# D(E_F)   2.264 states/eV/f.u.
# Magnetization   0.000 μB per atom

# PBE-GGA HfSi3Sn, optimized geometry
data_HfSi3Sn
_chemical_formula_sum 'Hf1 Si3 Sn1'
_cell_length_a 4.990
_cell_length_b 4.990
_cell_length_c 4.990
_cell_angle_alpha 90.00
_cell_angle_beta 90.00
_cell_angle_gamma 90.00
_space_group_name_H-M_alt 'P m -3 m'
_space_group_IT_number 221
_space_group_name_Hall '-P 4 2 3'
loop_
_atom_site_label
_atom_site_fract_x
_atom_site_fract_y
_atom_site_fract_z
_atom_site_occupancy
Hf1 0.000 0.000 0.000 1
Si1 0.000 0.500 0.500 1
Sn1 0.500 0.500 0.500 1
# Formation energy without anion corrections   1.40 eV per atom
# Energy above the lowest structure with this stoichiometry   0.695 eV per atom
# DFT total energy   -4.642 eV/atom
# D(E_F)   4.566 states/eV/f.u.
# Magnetization   0.000 μB per atom

# PBE-GGA HfSi3Sn, optimized geometry
data_HfSi3Sn
_chemical_formula_sum 'Hf1 Si3 Sn1'
_cell_length_a 5.064
_cell_length_b 5.064
_cell_length_c 5.064
_cell_angle_alpha 90.00
_cell_angle_beta 90.00
_cell_angle_gamma 90.00
_space_group_name_H-M_alt 'P m -3 m'
_space_group_IT_number 221
_space_group_name_Hall '-P 4 2 3'
loop_
_atom_site_label
_atom_site_fract_x
_atom_site_fract_y
_atom_site_fract_z
_atom_site_occupancy
Hf1 0.000 0.000 0.000 1
Si1 0.000 0.000 0.500 1
Sn1 0.500 0.500 0.500 1
# Formation energy without anion corrections   0.71 eV per atom
# Energy above the lowest structure with this stoichiometry   0.000 eV per atom
# DFT total energy   -5.337 eV/atom
# D(E_F)   3.810 states/eV/f.u.
# Magnetization   0.000 μB per atom